[1]
A relaxed structure of CaCeY2O6. Source: Alexandria, functional PBE.

Calculated density = 4.94 g/cm3
D(E_F) = 0.0000 states/eV per atom
Crystal system = trigonal

Cell lengths 5.8845, 5.8845, 15.2732 Å; angles 90.00, 90.00, 120.00 degrees
Space group R3 (No. 146, hexagonal axes)
One atom of each set of equivalent atoms:
Ca  0.0000  0.0000  0.0000 [3 per cell]
Ce  0.0000  0.0000  0.5050 [3 per cell]
Y  0.0000  0.0000  0.2185 [3 per cell]
Y  0.0000  0.0000  0.7196 [3 per cell]
O  0.0345  0.3660  0.7812 [9 per cell]
O  0.0584  0.6833  0.2767 [9 per cell]

---

[2]
A relaxed structure of CaCeZnO4. Source: Alexandria, functional PBE.

Calculated density = 4.84 g/cm3
D(E_F) = 0.0000 states/eV per atom
Crystal system = orthorhombic

Cell lengths 6.185, 9.825, 6.992 Å; angles 90.00, 90.00, 90.00 degrees
Space group Cmcm (No. 63)
One atom of each set of equivalent atoms:
Ca  0.000  0.000  0.000 [4 per cell]
Ce  0.000  0.339  0.250 [4 per cell]
Zn  0.000  0.351  0.750 [4 per cell]
O  0.000  0.240  0.518 [8 per cell]
O  0.237  0.494  0.750 [8 per cell]

---

[3]
A relaxed structure of CaCeOs4. Source: Alexandria, functional PBE.

Calculated density = 14.18 g/cm3
Energy of formation = -0.052 eV/atom
D(E_F) = 1.3658 states/eV per atom
Crystal system = cubic

Cell lengths 7.610, 7.610, 7.610 Å; angles 90.00, 90.00, 90.00 degrees
Space group F-43m (No. 216)
One atom of each set of equivalent atoms:
Ca  0.000  0.000  0.000 [4 per cell]
Ce  0.250  0.250  0.750 [4 per cell]
Os  0.125  0.125  0.375 [16 per cell]

---

[4]
A relaxed structure of CaCe3Os. Source: Alexandria, functional PBE.

Calculated density = 6.38 g/cm3
Energy of formation = 0.048 eV/atom
D(E_F) = 3.3730 states/eV per atom
Crystal system = cubic

Cell lengths 5.533, 5.533, 5.533 Å; angles 90.00, 90.00, 90.00 degrees
Space group Pm-3m (No. 221)
One atom of each set of equivalent atoms:
Ca  0.000  0.000  0.000 [1 per cell]
Ce  0.000  0.500  0.500 [3 per cell]
Os  0.500  0.500  0.500 [1 per cell]

---

[5]
A relaxed structure of CaCe2Os. Source: Alexandria, functional PBE.

Calculated density = 6.46 g/cm3
Energy of formation = -0.006 eV/atom
Polymorph energy (0 for the lowest one) = 0.000 eV per atom
D(E_F) = 2.7047 states/eV per atom
Crystal system = trigonal

Cell lengths 4.0879, 4.0879, 27.2209 Å; angles 90.00, 90.00, 120.00 degrees
Space group R3m (No. 160, hexagonal axes)
One atom of each set of equivalent atoms:
Ca  0.0000  0.0000  0.0000 [3 per cell]
Ce  0.0000  0.0000  0.2222 [3 per cell]
Ce  0.0000  0.0000  0.4487 [3 per cell]
Os  0.0000  0.0000  0.8362 [3 per cell]

---

[6]
A relaxed structure of CaCe2Os. Source: Alexandria, functional PBE.

Calculated density = 6.44 g/cm3
Energy of formation = -0.002 eV/atom
Polymorph energy (0 for the lowest one) = 0.004 eV per atom
D(E_F) = 2.6190 states/eV per atom
Crystal system = trigonal

Cell lengths 4.0528, 4.0528, 27.7739 Å; angles 90.00, 90.00, 120.00 degrees
Space group R-3m (No. 166, hexagonal axes)
One atom of each set of equivalent atoms:
Ca  0.0000  0.0000  0.0000 [3 per cell]
Ce  0.0000  0.0000  0.2200 [6 per cell]
Os  0.0000  0.0000  0.5000 [3 per cell]

---

[7]
A relaxed structure of CaCe2Os. Source: Alexandria, functional PBE.

Calculated density = 7.29 g/cm3
Energy of formation = 0.018 eV/atom
Polymorph energy (0 for the lowest one) = 0.024 eV per atom
D(E_F) = 2.8674 states/eV per atom
Crystal system = tetragonal

Cell lengths 3.420, 3.420, 9.943 Å; angles 90.00, 90.00, 90.00 degrees
Space group P4/mmm (No. 123)
One atom of each set of equivalent atoms:
Ca  0.000  0.000  0.000 [1 per cell]
Ce  0.500  0.500  0.327 [2 per cell]
Os  0.000  0.000  0.500 [1 per cell]

---

[8]
A relaxed structure of CaCe4P5. Source: Alexandria, functional PBE.

Calculated density = 5.13 g/cm3
Energy of formation = -1.420 eV/atom
D(E_F) = 1.7196 states/eV per atom
Crystal system = monoclinic

Cell lengths 13.599, 4.111, 10.058 Å; angles 90.00, 119.56, 90.00 degrees
Space group C2/m (No. 12)
One atom of each set of equivalent atoms:
Ca  0.000  0.000  0.000 [2 per cell]
Ce  0.098  0.500  0.397 [4 per cell]
Ce  0.202  0.000  0.800 [4 per cell]
P  0.000  0.000  0.500 [2 per cell]
P  0.105  0.500  0.896 [4 per cell]
P  0.202  0.000  0.305 [4 per cell]

---

[9]
A relaxed structure of CaCeP. Source: Alexandria, functional PBE.

Calculated density = 4.38 g/cm3
Energy of formation = -0.698 eV/atom
D(E_F) = 3.4045 states/eV per atom
Crystal system = cubic

Cell lengths 6.843, 6.843, 6.843 Å; angles 90.00, 90.00, 90.00 degrees
Space group F-43m (No. 216)
One atom of each set of equivalent atoms:
Ca  0.000  0.000  0.000 [4 per cell]
Ce  0.000  0.000  0.500 [4 per cell]
P  0.250  0.250  0.250 [4 per cell]

---

[10]
A relaxed structure of CaCeP. Source: Alexandria, functional PBE.

Calculated density = 3.67 g/cm3
Energy of formation = -0.762 eV/atom
D(E_F) = 2.2770 states/eV per atom
Crystal system = trigonal

Cell lengths 4.0288, 4.0288, 6.8044 Å; angles 90.00, 90.00, 120.00 degrees
Space group P3m1 (No. 156)
One atom of each set of equivalent atoms:
Ca  0.0000  0.0000  0.0000 [1 per cell]
Ce  0.6667  0.3333  0.4801 [1 per cell]
P  0.3333  0.6667  0.2505 [1 per cell]

---

[11]
A relaxed structure of CaCeP2. Source: Alexandria, functional PBE.

Calculated density = 4.09 g/cm3
Energy of formation = -1.306 eV/atom
Polymorph energy (0 for the lowest one) = 0.011 eV per atom
Crystal system = tetragonal

Cell lengths 5.786, 5.786, 11.745 Å; angles 90.00, 90.00, 90.00 degrees
Space group I4_1/amd (No. 141, origin choice 2)
One atom of each set of equivalent atoms:
Ca  0.000  0.250  0.375 [4 per cell]
Ce  0.000  0.250  0.875 [4 per cell]
P  0.000  0.250  0.114 [8 per cell]

---

[12]
A relaxed structure of CaCeP. Source: Alexandria, functional PBE.

Calculated density = 4.46 g/cm3
Energy of formation = -0.762 eV/atom
D(E_F) = 2.3271 states/eV per atom
Crystal system = trigonal

Cell lengths 4.7111, 4.7111, 24.5395 Å; angles 90.00, 90.00, 120.00 degrees
Space group R-3m (No. 166, hexagonal axes)
One atom of each set of equivalent atoms:
Ca  0.0000  0.0000  0.1253 [6 per cell]
Ce  0.0000  0.0000  0.3687 [6 per cell]
P  0.0000  0.0000  0.2468 [6 per cell]

---

M_tot / μB/cell: 0.0, 0.0, 0.0, 3.1, 4.5, 4.7, 1.8, 4.6, 4.5, 1.5, 0.0, 6.3
E / eV/f.u.: -84.12, -47.04, -53.17, -30.79, -25.12, -25.11, -25.03, -66.98, -15.44, -15.63, -23.98, -15.63